[1]
Here is a relaxed SrAsPd crystal from the Alexandria database. Energies are from PBE.

Cell and atoms, written as CIF:
```
data_SrAsPd
_space_group_name_H-M_alt 'P 1'
_space_group_IT_number 1
_cell_length_a 4.306
_cell_length_b 4.306
_cell_length_c 9.073
_cell_angle_alpha 90.00
_cell_angle_beta 90.00
_cell_angle_gamma 120.00
loop_
_space_group_symop_operation_xyz
'x,y,z'
loop_
_atom_site_label
_atom_site_type_symbol
_atom_site_fract_x
_atom_site_fract_y
_atom_site_fract_z
As1 As 0.667 0.333 0.250
As2 As 0.333 0.667 0.750
Sr1 Sr 0.000 0.000 0.000
Sr2 Sr 0.000 0.000 0.500
Pd1 Pd 0.333 0.667 0.250
Pd2 Pd 0.667 0.333 0.750
```

SG: No. 194
Total energy in eV/atom: -4.81
N(E_F) in states/eV per cell: 2.93
Volume in Å³ per atom: 24.28
Theoretical density in g/cm³: 6.13

***

[2]
Here is a relaxed AcTh3N4 crystal from the Alexandria database. Energies are from PBE.

Cell and atoms, written as CIF:
```
data_AcTh3N4
_space_group_name_H-M_alt 'P 1'
_space_group_IT_number 1
_cell_length_a 3.702
_cell_length_b 6.445
_cell_length_c 6.445
_cell_angle_alpha 70.69
_cell_angle_beta 90.00
_cell_angle_gamma 90.00
loop_
_space_group_symop_operation_xyz
'x,y,z'
loop_
_atom_site_label
_atom_site_type_symbol
_atom_site_fract_x
_atom_site_fract_y
_atom_site_fract_z
N1 N 0.500 0.239 0.739
N2 N 0.500 0.761 0.261
N3 N 0.000 0.774 0.726
N4 N 0.000 0.226 0.274
Th1 Th 0.000 0.000 0.000
Th2 Th 0.500 0.000 0.500
Th3 Th 0.000 0.500 0.500
Ac1 Ac 0.500 0.500 0.000
```

SG: No. 65
Uncorrected formation energy in meV per atom: -1442
Total energy in eV/atom: -8.90
N(E_F) in states/eV per cell: 3.14
Volume in Å³ per atom: 18.14
Theoretical density in g/cm³: 11.21

***

[3]
Here is a relaxed PaVSe crystal from the Alexandria database. Energies are from PBE.

Cell and atoms, written as CIF:
```
data_PaVSe
_space_group_name_H-M_alt 'P 1'
_space_group_IT_number 1
_cell_length_a 4.394
_cell_length_b 4.394
_cell_length_c 3.445
_cell_angle_alpha 90.00
_cell_angle_beta 90.00
_cell_angle_gamma 120.00
loop_
_space_group_symop_operation_xyz
'x,y,z'
loop_
_atom_site_label
_atom_site_type_symbol
_atom_site_fract_x
_atom_site_fract_y
_atom_site_fract_z
V1 V 0.333 0.667 0.833
Se1 Se 0.000 0.000 0.833
Pa1 Pa 0.667 0.333 0.333
```

SG: No. 187
Offset from the most stable computed form in meV/atom: 0
Uncorrected formation energy in meV per atom: -452
Total energy in eV/atom: -7.82
N(E_F) in states/eV per cell: 4.57
Volume in Å³ per atom: 19.20
Theoretical density in g/cm³: 10.41

***

[4]
Here is a relaxed BaCr2Cd crystal from the Alexandria database. Energies are from PBE.

Cell and atoms, written as CIF:
```
data_BaCr2Cd
_space_group_name_H-M_alt 'P 1'
_space_group_IT_number 1
_cell_length_a 4.567
_cell_length_b 4.567
_cell_length_c 6.782
_cell_angle_alpha 70.24
_cell_angle_beta 70.24
_cell_angle_gamma 60.12
loop_
_space_group_symop_operation_xyz
'x,y,z'
loop_
_atom_site_label
_atom_site_type_symbol
_atom_site_fract_x
_atom_site_fract_y
_atom_site_fract_z
Cd1 Cd 0.296 0.296 0.111
Cr1 Cr 0.691 0.691 0.928
Cr2 Cr 0.021 0.021 0.938
Ba1 Ba 0.493 0.493 0.522
```

SG: No. 8
Total energy in eV/atom: -5.13
N(E_F) in states/eV per cell: 1.64
Volume in Å³ per atom: 28.23
Theoretical density in g/cm³: 5.20

***

[5]
Here is a relaxed Ac2BiB crystal from the Alexandria database. Energies are from PBE.

Cell and atoms, written as CIF:
```
data_Ac2BiB
_space_group_name_H-M_alt 'P 1'
_space_group_IT_number 1
_cell_length_a 4.181
_cell_length_b 5.417
_cell_length_c 5.417
_cell_angle_alpha 90.00
_cell_angle_beta 90.00
_cell_angle_gamma 90.00
loop_
_space_group_symop_operation_xyz
'x,y,z'
loop_
_atom_site_label
_atom_site_type_symbol
_atom_site_fract_x
_atom_site_fract_y
_atom_site_fract_z
Ac1 Ac 0.000 0.000 0.500
Ac2 Ac 0.000 0.500 0.000
B1 B 0.500 0.500 0.500
Bi1 Bi 0.500 0.000 0.000
```

SG: No. 123
Total energy in eV/atom: -4.50
N(E_F) in states/eV per cell: 2.97
Volume in Å³ per atom: 30.67
Theoretical density in g/cm³: 9.12

***

[6]
Here is a relaxed Ho2PuMg crystal from the Alexandria database. Energies are from PBE.

Cell and atoms, written as CIF:
```
data_Ho2PuMg
_space_group_name_H-M_alt 'P 1'
_space_group_IT_number 1
_cell_length_a 3.410
_cell_length_b 3.410
_cell_length_c 11.456
_cell_angle_alpha 81.46
_cell_angle_beta 81.46
_cell_angle_gamma 60.02
loop_
_space_group_symop_operation_xyz
'x,y,z'
loop_
_atom_site_label
_atom_site_type_symbol
_atom_site_fract_x
_atom_site_fract_y
_atom_site_fract_z
Mg1 Mg 0.500 0.500 0.500
Pu1 Pu 0.667 0.667 0.000
Ho1 Ho 0.251 0.251 0.248
Ho2 Ho 0.083 0.083 0.752
```

SG: No. 160
Offset from the most stable computed form in meV/atom: 69
Total energy in eV/atom: -6.15
N(E_F) in states/eV per cell: 11.53
Volume in Å³ per atom: 28.42
Theoretical density in g/cm³: 8.74

***

[7]
Here is a relaxed Li2NdHo2Sn2 crystal from the Alexandria database. Energies are from PBE.

Cell and atoms, written as CIF:
```
data_Li2NdHo2Sn2
_space_group_name_H-M_alt 'P 1'
_space_group_IT_number 1
_cell_length_a 4.812
_cell_length_b 4.812
_cell_length_c 9.346
_cell_angle_alpha 75.08
_cell_angle_beta 75.08
_cell_angle_gamma 60.00
loop_
_space_group_symop_operation_xyz
'x,y,z'
loop_
_atom_site_label
_atom_site_type_symbol
_atom_site_fract_x
_atom_site_fract_y
_atom_site_fract_z
Li1 Li 0.590 0.590 0.231
Li2 Li 0.410 0.410 0.769
Sn1 Sn 0.260 0.260 0.221
Sn2 Sn 0.740 0.740 0.779
Ho1 Ho 0.130 0.130 0.609
Ho2 Ho 0.870 0.870 0.391
Nd1 Nd 0.000 0.000 0.000
```

SG: No. 166
Total energy in eV/atom: -4.14
N(E_F) in states/eV per cell: 4.14
Volume in Å³ per atom: 25.56
Theoretical density in g/cm³: 6.73

***

[8]
Here is a relaxed Sr2SiO4 crystal from the Alexandria database. Energies are from PBE.

Cell and atoms, written as CIF:
```
data_Sr2SiO4
_space_group_name_H-M_alt 'P 1'
_space_group_IT_number 1
_cell_length_a 5.615
_cell_length_b 5.796
_cell_length_c 6.985
_cell_angle_alpha 90.00
_cell_angle_beta 108.75
_cell_angle_gamma 90.00
loop_
_space_group_symop_operation_xyz
'x,y,z'
loop_
_atom_site_label
_atom_site_type_symbol
_atom_site_fract_x
_atom_site_fract_y
_atom_site_fract_z
O1 O 0.449 0.525 0.261
O2 O 0.892 0.250 0.042
O3 O 0.551 0.025 0.739
O4 O 0.939 0.250 0.662
O5 O 0.449 0.975 0.261
O6 O 0.061 0.750 0.338
O7 O 0.108 0.750 0.958
O8 O 0.551 0.475 0.739
Si1 Si 0.743 0.250 0.795
Si2 Si 0.257 0.750 0.205
Sr1 Sr 0.688 0.750 0.028
Sr2 Sr 0.794 0.750 0.570
Sr3 Sr 0.206 0.250 0.430
Sr4 Sr 0.312 0.250 0.972
```

SG: No. 11
Uncorrected formation energy in meV per atom: -2967
Total energy in eV/atom: -7.06
N(E_F) in states/eV per cell: 0.00
Volume in Å³ per atom: 15.37
Theoretical density in g/cm³: 4.12

***

[9]
Here is a relaxed KBeCl2 crystal from the Alexandria database. Energies are from PBE.

Cell and atoms, written as CIF:
```
data_KBeCl2
_space_group_name_H-M_alt 'P 1'
_space_group_IT_number 1
_cell_length_a 6.986
_cell_length_b 6.986
_cell_length_c 6.986
_cell_angle_alpha 151.87
_cell_angle_beta 144.63
_cell_angle_gamma 45.79
loop_
_space_group_symop_operation_xyz
'x,y,z'
loop_
_atom_site_label
_atom_site_type_symbol
_atom_site_fract_x
_atom_site_fract_y
_atom_site_fract_z
Cl1 Cl 0.770 0.270 0.500
Cl2 Cl 0.082 0.082 0.000
K1 K 0.440 0.440 0.000
Be1 Be 0.208 0.708 0.500
```

SG: No. 44
Offset from the most stable computed form in meV/atom: 366
Uncorrected formation energy in meV per atom: -618
Total energy in eV/atom: -2.75
N(E_F) in states/eV per cell: 1.14
Volume in Å³ per atom: 23.20
Theoretical density in g/cm³: 2.13

***

[10]
Here is a relaxed YIn2W crystal from the Alexandria database. Energies are from PBE.

Cell and atoms, written as CIF:
```
data_YIn2W
_space_group_name_H-M_alt 'P 1'
_space_group_IT_number 1
_cell_length_a 6.921
_cell_length_b 5.472
_cell_length_c 3.090
_cell_angle_alpha 90.08
_cell_angle_beta 63.35
_cell_angle_gamma 120.38
loop_
_space_group_symop_operation_xyz
'x,y,z'
loop_
_atom_site_label
_atom_site_type_symbol
_atom_site_fract_x
_atom_site_fract_y
_atom_site_fract_z
In1 In 0.500 0.000 0.500
In2 In 0.000 0.000 0.000
Y1 Y 0.500 0.500 0.000
W1 W 0.000 0.500 0.500
```

SG: No. 12
Offset from the most stable computed form in meV/atom: 129
Total energy in eV/atom: -5.90
N(E_F) in states/eV per cell: 2.46
Volume in Å³ per atom: 21.57
Theoretical density in g/cm³: 9.67

***

[11]
Here is a relaxed NaBeSb crystal from the Alexandria database. Energies are from PBE.

Cell and atoms, written as CIF:
```
data_NaBeSb
_space_group_name_H-M_alt 'P 1'
_space_group_IT_number 1
_cell_length_a 4.169
_cell_length_b 4.169
_cell_length_c 9.363
_cell_angle_alpha 90.00
_cell_angle_beta 90.00
_cell_angle_gamma 120.00
loop_
_space_group_symop_operation_xyz
'x,y,z'
loop_
_atom_site_label
_atom_site_type_symbol
_atom_site_fract_x
_atom_site_fract_y
_atom_site_fract_z
Na1 Na 0.000 0.000 0.500
Na2 Na 0.000 0.000 0.000
Be1 Be 0.667 0.333 0.250
Be2 Be 0.333 0.667 0.750
Sb1 Sb 0.333 0.667 0.250
Sb2 Sb 0.667 0.333 0.750
```

SG: No. 194
Uncorrected formation energy in meV per atom: -174
Total energy in eV/atom: -3.23
Volume in Å³ per atom: 23.49
Theoretical density in g/cm³: 3.62

***

[12]
Here is a relaxed Rb3HoO3 crystal from the Alexandria database. Energies are from PBE.

Cell and atoms, written as CIF:
```
data_Rb3HoO3
_space_group_name_H-M_alt 'P 1'
_space_group_IT_number 1
_cell_length_a 7.348
_cell_length_b 7.348
_cell_length_c 7.327
_cell_angle_alpha 85.24
_cell_angle_beta 85.24
_cell_angle_gamma 116.97
loop_
_space_group_symop_operation_xyz
'x,y,z'
loop_
_atom_site_label
_atom_site_type_symbol
_atom_site_fract_x
_atom_site_fract_y
_atom_site_fract_z
Rb1 Rb 0.260 0.740 0.000
Rb2 Rb 0.790 0.210 0.500
Rb3 Rb 0.360 0.360 0.358
Rb4 Rb 0.640 0.640 0.642
Rb5 Rb 0.740 0.260 0.000
Rb6 Rb 0.210 0.790 0.500
O1 O 0.832 0.555 0.268
O2 O 0.445 0.168 0.732
O3 O 0.168 0.445 0.732
O4 O 0.555 0.832 0.268
O5 O 0.105 0.105 0.152
O6 O 0.895 0.895 0.848
Ho1 Ho 0.823 0.823 0.150
Ho2 Ho 0.177 0.177 0.850
```

SG: No. 12
Offset from the most stable computed form in meV/atom: 12
Uncorrected formation energy in meV per atom: -1922
Total energy in eV/atom: -5.12
N(E_F) in states/eV per cell: 0.00
Volume in Å³ per atom: 24.86
Theoretical density in g/cm³: 4.48